Entry 1:
Density functional theory data (PBE-GGA) for LaErRe4 after structural relaxation.

a = 5.478 Å, b = 5.478 Å, c = 5.478 Å
α = 60.00°, β = 60.00°, γ = 60.00°
Atoms (fractional coordinates):
1 La 0.250 0.250 0.250
2 Er 0.000 0.000 0.000
3 Re 0.125 0.625 0.625
4 Re 0.625 0.625 0.625
5 Re 0.625 0.125 0.625
6 Re 0.625 0.625 0.125

Results
formation energy from the elements: 0.00 eV per atom
volume: 19.4 A^3/atom
DFT total energy: -9.879 eV per atom
symmetry: No. 216

=====

Entry 2:
Density functional theory data (PBE-GGA) for La3ErRh after structural relaxation.

a = 5.628 Å, b = 5.628 Å, c = 5.628 Å
α = 90.00°, β = 90.00°, γ = 90.00°
Atoms (fractional coordinates):
1 Rh 0.000 0.000 0.000
2 La 0.500 0.000 0.000
3 La 0.000 0.500 0.000
4 La 0.000 0.000 0.500
5 Er 0.500 0.500 0.500

Results
formation energy from the elements: -0.16 eV per atom
volume: 35.6 A^3/atom
DFT total energy: -5.504 eV per atom
symmetry: No. 221

=====

Entry 3:
Density functional theory data (PBE-GGA) for La3ErRh2 after structural relaxation.

a = 4.960 Å, b = 4.613 Å, c = 7.999 Å
α = 106.66°, β = 108.06°, γ = 90.00°
Atoms (fractional coordinates):
1 La 0.192 0.692 0.383
2 La 0.500 0.500 0.000
3 La 0.808 0.308 0.617
4 Er 0.000 0.000 0.000
5 Rh 0.628 0.127 0.257
6 Rh 0.372 0.873 0.743

Results
formation energy from the elements: -0.53 eV per atom
volume: 27.7 A^3/atom
DFT total energy: -6.200 eV per atom
symmetry: No. 12

=====

Entry 4:
Density functional theory data (PBE-GGA) for LaEr3Rh8 after structural relaxation.

a = 5.347 Å, b = 5.347 Å, c = 8.765 Å
α = 90.00°, β = 90.00°, γ = 120.00°
Atoms (fractional coordinates):
1 Er 0.667 0.333 0.430
2 Er 0.000 0.000 0.935
3 Er 0.667 0.333 0.065
4 Rh 0.670 0.835 0.246
5 Rh 0.333 0.667 0.000
6 Rh 0.165 0.330 0.246
7 Rh 0.333 0.667 0.498
8 Rh 0.502 0.005 0.755
9 Rh 0.995 0.498 0.755
10 Rh 0.165 0.835 0.246
11 Rh 0.502 0.498 0.755
12 La 0.000 0.000 0.568

Results
formation energy from the elements: -0.70 eV per atom
volume: 18.1 A^3/atom
DFT total energy: -7.154 eV per atom
symmetry: No. 156

=====

Entry 5:
Density functional theory data (PBE-GGA) for La3ErRh8 after structural relaxation.

a = 5.412 Å, b = 5.412 Å, c = 9.396 Å
α = 73.26°, β = 73.26°, γ = 60.00°
Atoms (fractional coordinates):
1 La 0.000 0.000 0.000
2 La 0.500 0.500 0.500
3 La 0.375 0.375 0.875
4 Rh 0.687 0.687 0.938
5 Rh 0.436 0.936 0.192
6 Rh 0.938 0.938 0.683
7 Rh 0.436 0.436 0.192
8 Rh 0.440 0.938 0.683
9 Rh 0.936 0.436 0.192
10 Rh 0.938 0.440 0.683
11 Rh 0.188 0.188 0.437
12 Er 0.875 0.875 0.376

Results
formation energy from the elements: -0.70 eV per atom
volume: 18.7 A^3/atom
DFT total energy: -7.216 eV per atom
symmetry: No. 160

=====

Entry 6:
Density functional theory data (PBE-GGA) for LaEr3Rh after structural relaxation.

a = 5.399 Å, b = 5.399 Å, c = 5.399 Å
α = 90.00°, β = 90.00°, γ = 90.00°
Atoms (fractional coordinates):
1 La 0.500 0.500 0.500
2 Er 0.000 0.000 0.500
3 Er 0.500 0.000 0.000
4 Er 0.000 0.500 0.000
5 Rh 0.000 0.000 0.000

Results
formation energy from the elements: -0.30 eV per atom
volume: 31.5 A^3/atom
DFT total energy: -5.495 eV per atom
symmetry: No. 221

=====

Entry 7:
Density functional theory data (PBE-GGA) for La2ErRh after structural relaxation.

a = 3.688 Å, b = 3.688 Å, c = 8.537 Å
α = 90.00°, β = 90.00°, γ = 90.00°
Site moments in Bohr magnetons follow the coordinates.
Atoms (fractional coordinates):
1 Rh 0.500 0.500 0.000  0.06
2 Er 0.500 0.500 0.500  0.49
3 La 0.000 0.000 0.805  0.10
4 La 0.000 0.000 0.195  0.10

Results
formation energy from the elements: -0.27 eV per atom
volume: 29.0 A^3/atom
DFT total energy: -5.712 eV per atom
E above lowest polymorph: 0.194 eV per atom
symmetry: No. 123

=====

Entry 8:
Density functional theory data (PBE-GGA) for LaEr5Rh4 after structural relaxation.

a = 3.414 Å, b = 3.414 Å, c = 19.259 Å
α = 90.00°, β = 90.00°, γ = 90.00°
Atoms (fractional coordinates):
1 Rh 0.000 0.000 0.234
2 Rh 0.000 0.000 0.766
3 Rh 0.000 0.000 0.588
4 Rh 0.000 0.000 0.412
5 La 0.000 0.000 0.000
6 Er 0.500 0.500 0.500
7 Er 0.500 0.500 0.849
8 Er 0.500 0.500 0.151
9 Er 0.500 0.500 0.676
10 Er 0.500 0.500 0.324

Results
formation energy from the elements: -0.75 eV per atom
volume: 22.4 A^3/atom
DFT total energy: -6.468 eV per atom
symmetry: No. 123

=====

Entry 9:
Density functional theory data (PBE-GGA) for La2ErRh after structural relaxation.

a = 3.972 Å, b = 3.972 Å, c = 9.637 Å
α = 78.11°, β = 78.11°, γ = 60.00°
Site moments in Bohr magnetons follow the coordinates.
Atoms (fractional coordinates):
1 Rh 0.666 0.666 0.001  0.02
2 La 0.061 0.061 0.817  0.05
3 La 0.272 0.272 0.183  0.05
4 Er 0.500 0.500 0.499  0.33

Results
formation energy from the elements: -0.29 eV per atom
volume: 32.0 A^3/atom
DFT total energy: -5.730 eV per atom
E above lowest polymorph: 0.176 eV per atom
symmetry: No. 160

=====

Entry 10:
Density functional theory data (PBE-GGA) for La2ErRh after structural relaxation.

a = 6.364 Å, b = 7.315 Å, c = 10.167 Å
α = 90.00°, β = 90.00°, γ = 90.00°
Atoms (fractional coordinates):
1 La 0.172 0.673 0.066
2 La 0.172 0.673 0.434
3 La 0.828 0.327 0.934
4 La 0.828 0.327 0.566
5 La 0.328 0.173 0.066
6 La 0.672 0.827 0.566
7 La 0.672 0.827 0.934
8 La 0.328 0.173 0.434
9 Rh 0.439 0.874 0.250
10 Rh 0.561 0.126 0.750
11 Rh 0.939 0.626 0.750
12 Rh 0.061 0.374 0.250
13 Er 0.159 0.962 0.750
14 Er 0.659 0.538 0.250
15 Er 0.841 0.038 0.250
16 Er 0.341 0.462 0.750

Results
formation energy from the elements: -0.46 eV per atom
volume: 29.6 A^3/atom
DFT total energy: -5.906 eV per atom
E above lowest polymorph: 0.000 eV per atom
symmetry: No. 62

=====

Entry 11:
Density functional theory data (PBE-GGA) for LaErRh4 after structural relaxation.

a = 5.387 Å, b = 5.387 Å, c = 5.387 Å
α = 60.00°, β = 60.00°, γ = 60.00°
Atoms (fractional coordinates):
1 La 0.000 0.000 0.000
2 Rh 0.126 0.625 0.625
3 Rh 0.625 0.126 0.625
4 Rh 0.625 0.625 0.625
5 Rh 0.625 0.625 0.126
6 Er 0.250 0.250 0.250

Results
formation energy from the elements: -0.70 eV per atom
volume: 18.4 A^3/atom
DFT total energy: -7.182 eV per atom
symmetry: No. 216

=====

Entry 12:
Density functional theory data (PBE-GGA) for LaEr2Rh9 after structural relaxation.

a = 5.289 Å, b = 5.289 Å, c = 9.273 Å
α = 73.43°, β = 73.43°, γ = 60.00°
Atoms (fractional coordinates):
1 Er 0.140 0.140 0.581
2 Er 0.860 0.860 0.419
3 Rh 0.584 0.083 0.748
4 Rh 0.500 0.500 0.500
5 Rh 0.667 0.667 0.999
6 Rh 0.917 0.416 0.252
7 Rh 0.416 0.416 0.252
8 Rh 0.584 0.584 0.748
9 Rh 0.333 0.333 0.001
10 Rh 0.416 0.917 0.252
11 Rh 0.083 0.584 0.748
12 La 0.000 0.000 0.000

Results
formation energy from the elements: -0.58 eV per atom
volume: 17.7 A^3/atom
DFT total energy: -7.263 eV per atom
symmetry: No. 166

=====

Entry 13:
Density functional theory data (PBE-GGA) for La2ErRh after structural relaxation.

a = 3.787 Å, b = 3.787 Å, c = 10.822 Å
α = 79.92°, β = 79.92°, γ = 60.00°
Atoms (fractional coordinates):
1 La 0.110 0.110 0.671
2 La 0.890 0.890 0.329
3 Er 0.000 0.000 0.000
4 Rh 0.500 0.500 0.500

Results
formation energy from the elements: -0.12 eV per atom
volume: 32.9 A^3/atom
DFT total energy: -5.558 eV per atom
E above lowest polymorph: 0.348 eV per atom
symmetry: No. 166

=====

Entry 14:
Density functional theory data (PBE-GGA) for La2Er2Rh15 after structural relaxation.

a = 6.956 Å, b = 6.956 Å, c = 6.956 Å
α = 82.45°, β = 82.45°, γ = 82.45°
Atoms (fractional coordinates):
1 Rh 0.000 0.696 0.304
2 Rh 0.000 0.000 0.500
3 Rh 0.304 0.000 0.696
4 Rh 0.843 0.349 0.349
5 Rh 0.157 0.651 0.651
6 Rh 0.651 0.157 0.651
7 Rh 0.349 0.843 0.349
8 Rh 0.651 0.651 0.157
9 Rh 0.000 0.304 0.696
10 Rh 0.696 0.304 0.000
11 Rh 0.696 0.000 0.304
12 Rh 0.500 0.000 0.000
13 Rh 0.349 0.349 0.843
14 Rh 0.000 0.500 0.000
15 Rh 0.304 0.696 0.000
16 La 0.357 0.357 0.357
17 La 0.643 0.643 0.643
18 Er 0.891 0.891 0.891
19 Er 0.109 0.109 0.109

Results
formation energy from the elements: -0.39 eV per atom
volume: 17.3 A^3/atom
DFT total energy: -7.194 eV per atom
symmetry: No. 166

=====

Entry 15:
Density functional theory data (PBE-GGA) for La2ErRh9 after structural relaxation.

a = 5.289 Å, b = 5.289 Å, c = 9.484 Å
α = 73.81°, β = 73.81°, γ = 60.00°
Atoms (fractional coordinates):
1 Rh 0.420 0.420 0.240
2 Rh 0.333 0.333 0.002
3 Rh 0.081 0.580 0.760
4 Rh 0.580 0.580 0.760
5 Rh 0.420 0.919 0.240
6 Rh 0.667 0.667 0.998
7 Rh 0.500 0.500 0.500
8 Rh 0.919 0.420 0.240
9 Rh 0.580 0.081 0.760
10 La 0.138 0.138 0.585
11 La 0.862 0.862 0.415
12 Er 0.000 0.000 0.000

Results
formation energy from the elements: -0.52 eV per atom
volume: 18.1 A^3/atom
DFT total energy: -7.234 eV per atom
symmetry: No. 166

=====

Entry 16:
Density functional theory data (PBE-GGA) for LaEr3Rh4 after structural relaxation.

a = 4.862 Å, b = 4.862 Å, c = 8.487 Å
α = 73.36°, β = 73.36°, γ = 60.00°
Atoms (fractional coordinates):
1 Rh 0.873 0.873 0.382
2 Rh 0.127 0.127 0.618
3 Rh 0.378 0.378 0.865
4 Rh 0.622 0.622 0.135
5 Er 0.753 0.753 0.741
6 Er 0.500 0.500 0.500
7 Er 0.247 0.247 0.259
8 La 0.000 0.000 0.000

Results
formation energy from the elements: -0.84 eV per atom
volume: 20.5 A^3/atom
DFT total energy: -6.847 eV per atom
symmetry: No. 166

=====

Entry 17:
Density functional theory data (PBE-GGA) for LaErSb2Rh5 after structural relaxation.

a = 4.497 Å, b = 4.497 Å, c = 8.958 Å
α = 90.00°, β = 90.00°, γ = 90.00°
Atoms (fractional coordinates):
1 Rh 0.500 0.000 0.279
2 Rh 0.000 0.500 0.279
3 Rh 0.500 0.500 0.500
4 Rh 0.000 0.500 0.721
5 Rh 0.500 0.000 0.721
6 La 0.000 0.000 0.500
7 Er 0.000 0.000 0.000
8 Sb 0.500 0.500 0.843
9 Sb 0.500 0.500 0.157

Results
volume: 20.1 A^3/atom
DFT total energy: -6.567 eV per atom
energy relative to the elements, uncorrected: -11.8 kcal/mol of atoms
symmetry: No. 123

=====

Entry 18:
Density functional theory data (PBE-GGA) for La2ErSb3Rh4 after structural relaxation.

a = 4.457 Å, b = 4.457 Å, c = 11.300 Å
α = 90.00°, β = 90.00°, γ = 90.00°
Atoms (fractional coordinates):
1 Rh 0.500 0.500 0.000
2 Rh 0.000 0.000 0.000
3 Rh 0.000 0.500 0.357
4 Rh 0.500 0.000 0.643
5 Sb 0.500 0.000 0.872
6 Sb 0.000 0.500 0.128
7 Sb 0.000 0.000 0.500
8 La 0.500 0.000 0.232
9 La 0.000 0.500 0.768
10 Er 0.500 0.500 0.500

Results
volume: 22.4 A^3/atom
DFT total energy: -6.537 eV per atom
energy relative to the elements, uncorrected: -21.2 kcal/mol of atoms
symmetry: No. 115

=====

Entry 19:
Density functional theory data (PBE-GGA) for La2ErSi3Rh4 after structural relaxation.

a = 4.187 Å, b = 4.187 Å, c = 10.899 Å
α = 90.00°, β = 90.00°, γ = 90.00°
Atoms (fractional coordinates):
1 Rh 0.500 0.000 0.659
2 Rh 0.500 0.500 0.000
3 Rh 0.000 0.500 0.341
4 Rh 0.000 0.000 0.000
5 Er 0.500 0.500 0.500
6 La 0.500 0.000 0.235
7 La 0.000 0.500 0.765
8 Si 0.500 0.000 0.884
9 Si 0.000 0.500 0.116
10 Si 0.000 0.000 0.500

Results
volume: 19.1 A^3/atom
DFT total energy: -7.006 eV per atom
energy relative to the elements, uncorrected: -23.0 kcal/mol of atoms
symmetry: No. 115

=====

Entry 20:
Density functional theory data (PBE-GGA) for LaErTh2Rh4 after structural relaxation.

a = 5.763 Å, b = 5.763 Å, c = 7.050 Å
α = 115.91°, β = 115.91°, γ = 86.04°
Atoms (fractional coordinates):
1 Rh 0.415 0.016 0.000
2 Rh 0.176 0.176 0.543
3 Rh 0.016 0.415 0.000
4 Rh 0.633 0.633 0.457
5 Th 0.160 0.660 0.500
6 Th 0.660 0.160 0.500
7 Er 0.504 0.504 0.000
8 La 0.933 0.933 0.000

Results
formation energy from the elements: -0.79 eV per atom
volume: 23.4 A^3/atom
DFT total energy: -7.509 eV per atom
symmetry: No. 42

=====

Entry 21:
Density functional theory data (PBE-GGA) for LaErZnRh after structural relaxation.

a = 5.051 Å, b = 5.051 Å, c = 5.051 Å
α = 60.00°, β = 60.00°, γ = 60.00°
Atoms (fractional coordinates):
1 Er 0.000 0.000 0.000
2 La 0.500 0.500 0.500
3 Rh 0.750 0.750 0.750
4 Zn 0.250 0.250 0.250

Results
formation energy from the elements: -0.53 eV per atom
volume: 22.8 A^3/atom
DFT total energy: -5.063 eV per atom
symmetry: No. 216

=====

Entry 22:
Density functional theory data (PBE-GGA) for LaEr3Ru after structural relaxation.

a = 5.383 Å, b = 5.383 Å, c = 5.383 Å
α = 90.00°, β = 90.00°, γ = 90.00°
Atoms (fractional coordinates):
1 La 0.500 0.500 0.500
2 Er 0.000 0.000 0.500
3 Er 0.500 0.000 0.000
4 Er 0.000 0.500 0.000
5 Ru 0.000 0.000 0.000

Results
formation energy from the elements: -0.13 eV per atom
volume: 31.2 A^3/atom
DFT total energy: -5.712 eV per atom
symmetry: No. 221

=====

Entry 23:
Density functional theory data (PBE-GGA) for La2Er3Ru2 after structural relaxation.

a = 3.871 Å, b = 6.394 Å, c = 8.576 Å
α = 71.82°, β = 76.96°, γ = 72.38°
Atoms (fractional coordinates):
1 Ru 0.180 0.875 0.764
2 Ru 0.820 0.125 0.236
3 Er 0.500 0.000 0.000
4 Er 0.377 0.825 0.421
5 Er 0.623 0.175 0.579
6 La 0.834 0.536 0.796
7 La 0.166 0.464 0.204

Results
formation energy from the elements: -0.33 eV per atom
volume: 27.2 A^3/atom
DFT total energy: -6.342 eV per atom
symmetry: No. 12

=====

Entry 24:
Density functional theory data (PBE-GGA) for La2ErRu after structural relaxation.

a = 6.351 Å, b = 7.374 Å, c = 9.893 Å
α = 90.00°, β = 90.00°, γ = 90.00°
Atoms (fractional coordinates):
1 Ru 0.446 0.884 0.250
2 Ru 0.946 0.616 0.750
3 Ru 0.054 0.384 0.250
4 Ru 0.554 0.116 0.750
5 Er 0.847 0.045 0.250
6 Er 0.153 0.955 0.750
7 Er 0.347 0.455 0.750
8 Er 0.653 0.545 0.250
9 La 0.829 0.325 0.567
10 La 0.329 0.175 0.067
11 La 0.829 0.325 0.933
12 La 0.671 0.825 0.567
13 La 0.329 0.175 0.433
14 La 0.171 0.675 0.433
15 La 0.671 0.825 0.933
16 La 0.171 0.675 0.067

Results
formation energy from the elements: -0.25 eV per atom
volume: 29.0 A^3/atom
DFT total energy: -6.175 eV per atom
E above lowest polymorph: 0.000 eV per atom
symmetry: No. 62